[1]
An optimized crystal structure of Ho6Ag2Sn. Source: Alexandria via LeMat-Bulk, functional GGA-PBE.

For the calculated formation energy, the calculation gives -26.63 kJ per mole of atoms.

The structure belongs to space group Immm (No. 71); the cell edges are 9.838, 9.924 and 10.155 Å and the angles 90.00°, 90.00° and 90.00°. The asymmetric unit holds Ho at (0.000, 0.218, 0.177), Ho at (0.181, 0.229, 0.500), Ho at (0.204, 0.500, 0.256), Ag at (0.000, 0.000, 0.366), Ag at (0.145, 0.000, 0.000), Sn at (0.000, 0.500, 0.000) and Sn at (0.000, 0.500, 0.500).


[2]
An optimized crystal structure of NbCoSe2. Source: Alexandria via LeMat-Bulk, functional GGA-PBE.

As for the formation energy (no corrections): -0.0939 eV/atom.

The structure belongs to space group I-42d (No. 122); the cell edges are 5.655, 5.655 and 10.609 Å and the angles 90.00°, 90.00° and 90.00°. The asymmetric unit holds Nb at (0.000, 0.000, 0.000), Co at (0.000, 0.000, 0.500) and Se at (0.216, 0.250, 0.625).


[3]
An optimized crystal structure of In2ReHg. Source: Alexandria via LeMat-Bulk, functional GGA-PBE.

For the calculated formation energy, the calculation gives 69.65 kJ per mole of atoms.

The structure belongs to space group Pmmm (No. 47); the cell edges are 2.963, 5.155 and 5.380 Å and the angles 90.00°, 90.00° and 90.00°. The asymmetric unit holds In at (0.000, 0.000, 0.000), In at (0.500, 0.000, 0.500), Re at (0.000, 0.500, 0.500) and Hg at (0.500, 0.500, 0.000).


[4]
An optimized crystal structure of HfMn. Source: Alexandria via LeMat-Bulk, functional GGA-PBE.

For the calculated formation energy, the calculation gives 7.30 kJ per mole of atoms.

The structure belongs to space group I4/mmm (No. 139); the cell edges are 7.644, 7.644 and 4.530 Å and the angles 90.00°, 90.00° and 90.00°. The asymmetric unit holds Hf at (0.000, 0.295, 0.000) and Mn at (0.148, 0.148, 0.500).


[5]
An optimized crystal structure of BaLiGa2H8. Source: Alexandria via LeMat-Bulk, functional GGA-PBE.

The structure belongs to space group P-3 (No. 147); the cell edges are 4.7618, 4.7618 and 7.9035 Å and the angles 90.00°, 90.00° and 120.00°. The asymmetric unit holds Ba at (0.0000, 0.0000, 0.0000), Li at (0.0000, 0.0000, 0.5000), Ga at (0.3333, 0.6667, 0.7188), H at (0.0457, 0.3186, 0.6664) and H at (0.3333, 0.6667, 0.9309).


[6]
An optimized crystal structure of BeCd2Au8. Source: Alexandria via LeMat-Bulk, functional GGA-PBE.

For the calculated formation energy, the calculation gives -9.78 kJ per mole of atoms.

The structure belongs to space group C2/m (No. 12); the cell edges are 15.129, 4.582 and 5.725 Å and the angles 90.00°, 96.78° and 90.00°. The asymmetric unit holds Be at (0.000, 0.000, 0.000), Cd at (0.219, 0.500, 0.674), Au at (0.025, 0.500, 0.759), Au at (0.083, 0.000, 0.388), Au at (0.143, 0.000, 0.882) and Au at (0.167, 0.500, 0.184).


[7]
An optimized crystal structure of LaPmS. Source: Alexandria via LeMat-Bulk, functional GGA-PBE.

As for the formation energy (no corrections): -1.2521 eV/atom.

The structure belongs to space group P3m1 (No. 156); the cell edges are 4.0108, 4.0108 and 6.6031 Å and the angles 90.00°, 90.00° and 120.00°. The asymmetric unit holds La at (0.0000, 0.0000, 0.0000), Pm at (0.3333, 0.6667, 0.5076) and S at (0.6667, 0.3333, 0.2622).


[8]
An optimized crystal structure of CeErSi2. Source: Alexandria via LeMat-Bulk, functional GGA-PBE.

As for the formation energy (no corrections): -0.4958 eV/atom. The energy above the most stable polymorph in this dataset is 21.5 kJ/mol of atoms.

The structure belongs to space group R-3m (No. 166, hexagonal axes); the cell edges are 4.5853, 4.5853 and 15.3767 Å and the angles 90.00°, 90.00° and 120.00°. The asymmetric unit holds Ce at (0.0000, 0.0000, 0.0000), Er at (0.0000, 0.0000, 0.5000) and Si at (0.0000, 0.0000, 0.2448).


Record-wise calculated density values, in g/cm3: 8.870, 6.065, 12.457, 11.714, 3.122, 15.247, 5.704, 6.468
Record-wise calculated total energy values, in eV per atom: -4.406, -6.130, -3.835, -9.486, -3.189, -2.990, -5.854, -5.832